w.
In2NiH | PBE | relaxed

Lattice parameters (Å, degrees): 5.025 5.025 12.478 90.00 90.00 90.00
Fractional positions:
In: 0.193 0.250 0.125
In: 0.250 0.693 0.375
In: 0.250 0.807 0.875
In: 0.307 0.250 0.625
In: 0.693 0.750 0.625
In: 0.750 0.193 0.875
In: 0.750 0.307 0.375
In: 0.807 0.750 0.125
Ni: 0.000 0.000 0.500
Ni: 0.000 0.500 0.750
Ni: 0.500 0.000 0.250
Ni: 0.500 0.500 0.000
H: 0.000 0.000 0.000
H: 0.000 0.500 0.250
H: 0.500 0.000 0.750
H: 0.500 0.500 0.500

---

x.
In2NiH | PBE | relaxed

Lattice parameters (Å, degrees): 6.294 6.294 6.294 90.00 90.00 90.00
Fractional positions:
In: 0.250 0.250 0.250
In: 0.250 0.250 0.750
In: 0.250 0.750 0.250
In: 0.250 0.750 0.750
In: 0.750 0.250 0.250
In: 0.750 0.250 0.750
In: 0.750 0.750 0.250
In: 0.750 0.750 0.750
Ni: 0.000 0.000 0.000
Ni: 0.000 0.500 0.500
Ni: 0.500 0.000 0.500
Ni: 0.500 0.500 0.000
H: 0.000 0.000 0.500
H: 0.000 0.500 0.000
H: 0.500 0.000 0.000
H: 0.500 0.500 0.500

---

Relative energies, unit meV/atom: w 71; x 0

---

w.
InNi2HPd | PBE | relaxed

Lattice parameters (Å, degrees): 3.748 3.748 4.277 90.00 90.00 90.00
Fractional positions:
In: 0.000 0.000 0.000
Ni: 0.000 0.500 0.500
Ni: 0.500 0.000 0.500
H: 0.000 0.000 0.500
Pd: 0.500 0.500 0.000

---

x.
InNi2HPd | PBE | relaxed

Lattice parameters (Å, degrees): 3.875 3.875 3.931 90.00 90.00 90.00
Fractional positions:
In: 0.000 0.000 0.000
Ni: 0.000 0.500 0.500
Ni: 0.500 0.000 0.500
H: 0.500 0.500 0.500
Pd: 0.500 0.500 0.000

---

Relative energies, unit meV/atom: w 169; x 0

---

w.
InNi2HPt | PBE | relaxed

Lattice parameters (Å, degrees): 3.784 3.784 4.215 90.00 90.00 90.00
Fractional positions:
In: 0.000 0.000 0.000
Ni: 0.000 0.500 0.500
Ni: 0.500 0.000 0.500
H: 0.000 0.000 0.500
Pt: 0.500 0.500 0.000

---

x.
InNi2HPt | PBE | relaxed

Lattice parameters (Å, degrees): 3.933 3.933 3.856 90.00 90.00 90.00
Fractional positions:
In: 0.000 0.000 0.000
Ni: 0.000 0.500 0.500
Ni: 0.500 0.000 0.500
H: 0.500 0.500 0.500
Pt: 0.500 0.500 0.000

---

Relative energies, unit meV/atom: w 155; x 0